Density functional theory data (PBE with a Hubbard U) for a relaxed structure of WSe3O9. Values from VASP.

```
&SYSTEM
  ibrav = 0, nat = 26, ntyp = 3
/
ATOMIC_SPECIES
W 183.84 W.upf
Se 78.96 Se.upf
O 16.00 O.upf
CELL_PARAMETERS angstrom
-3.986 -5.090 -0.858
2.252 -4.566 -8.167
4.021 -7.515 1.117
ATOMIC_POSITIONS angstrom
W 5.071 -9.719 -3.099
W -0.056 -6.220 -0.002
Se 1.227 -11.457 -4.955
Se 0.928 -1.793 -0.819
Se 5.205 -10.674 -6.482
Se 1.433 -5.446 -3.094
Se 1.185 -9.517 -1.120
Se 0.703 -7.529 -5.675
O 0.339 -5.265 -1.719
O 4.535 -9.952 -5.017
O 3.430 -9.260 -2.663
O 1.273 -9.411 -7.578
O 4.008 -10.072 -7.601
O 0.736 -4.205 -4.105
O -0.988 -7.901 -5.667
O 1.111 -7.825 -0.763
O -1.556 -7.209 -0.761
O 1.770 -13.007 -4.246
O 2.139 -11.792 -6.516
O -2.257 -7.360 -3.261
O 0.648 -6.810 -3.793
O 2.434 -14.575 -7.609
O 0.179 -9.841 -2.367
O 0.958 -6.243 -6.652
O -3.202 -5.256 -1.786
O -0.344 -11.652 -5.371
```

Values from the calculation:
Mass density in g cm⁻³: 4.2
N(E_F) in states/eV/cell: 0.00
DFT total energy in eV/atom: -5.828